Record 1
Density functional theory data (PBE) for a relaxed Na2Au3I6 crystal.

## Properties
Fermi-level density of states: 23.3 states/eV per cell
uncorrected formation energy: -0.405 eV per atom
ρ: 4806 kg/m3

Cell lengths 8.2292, 8.1581, 17.3274 Å; angles 76.32, 76.26, 59.71 degrees
Positions (direct):
Au 0.2465 0.4247 0.2499
Au 0.9210 0.0753 0.2501
Au 0.7535 0.5753 0.7501
Au 0.0790 0.9247 0.7499
Au 0.5764 0.7500 0.2500
Au 0.4236 0.2500 0.7500
I 0.2200 0.3528 0.4033
I 0.7277 0.5217 0.9035
I 0.2723 0.4783 0.0965
I 0.6486 0.7771 0.0965
I 0.0239 0.8528 0.9033
I 0.3514 0.2229 0.9035
I 0.5222 0.7229 0.4035
I 0.9761 0.1472 0.0967
I 0.7800 0.6472 0.5967
I 0.4778 0.2771 0.5965
I 0.1528 0.9783 0.5965
I 0.8472 0.0217 0.4035
Na 0.1639 0.6670 0.5067
Na 0.3376 0.8330 0.9933
Na 0.8361 0.3330 0.4933
Na 0.6624 0.1670 0.0067

Record 2
Density functional theory data (PBE) for a relaxed TaRe2Hg crystal.

## Properties
energy relative to the elements: 0.489 eV/atom
Fermi-level density of states: 3.0 states/eV per cell
ρ: 18286 kg/m3

Cell lengths 5.4190, 5.4190, 5.4190 Å; angles 145.82, 129.28, 62.59 degrees
Positions (direct):
Ta 0.7500 0.2500 0.5000
Hg 0.2500 0.7500 0.5000
Re 0.9835 0.9835 0.0000
Re 0.5165 0.5165 0.0000

Record 3
Density functional theory data (PBE) for a relaxed SbP2Os crystal.

## Properties
Fermi-level density of states: 2.0 states/eV per cell
uncorrected formation energy: 0.311 eV per atom
ρ: 8542 kg/m3

Cell lengths 3.1284, 3.1284, 7.4270 Å; angles 90.00, 90.00, 90.00 degrees
Positions (direct):
P 0.5000 0.5000 0.1363
P 0.0000 0.0000 0.0014
Sb 0.0000 0.0000 0.5615
Os 0.5000 0.5000 0.8008

Record 4
Density functional theory data (PBE) for a relaxed Te2MoRu crystal.

## Properties
energy above the lowest structure with this stoichiometry: 440.1 meV/atom
Fermi-level density of states: 3.0 states/eV per cell
uncorrected formation energy: 0.478 eV per atom
ρ: 8780 kg/m3

Cell lengths 9.0891, 9.0891, 9.0891 Å; angles 21.14, 21.14, 21.14 degrees
Site moments in Bohr magnetons follow the coordinates.
Positions (direct):
Ru 0.0000 0.0000 0.0000  0.11
Mo 0.5000 0.5000 0.5000  -0.02
Te 0.0945 0.0945 0.0945  0.00
Te 0.9055 0.9055 0.9055  0.00

Record 5
Density functional theory data (PBE) for a relaxed KRuBr2O crystal.

## Properties
Fermi-level density of states: 2.3 states/eV per cell
uncorrected formation energy: -0.874 eV per atom
ρ: 4695 kg/m3

Cell lengths 5.4557, 5.4557, 3.7550 Å; angles 90.00, 90.00, 90.00 degrees
Site moments in Bohr magnetons follow the coordinates.
Positions (direct):
K 0.5000 0.5000 0.5000  0.00
Br 0.0000 0.5000 0.0000  0.01
Br 0.5000 0.0000 0.0000  0.01
Ru 0.0000 0.0000 0.0000  0.37
O 0.0000 0.0000 0.5000  0.09

Record 6
Density functional theory data (PBE) for a relaxed SrFe2Ni crystal.

## Properties
energy relative to the elements: 0.858 eV/atom
Fermi-level density of states: 3.9 states/eV per cell
ρ: 6511 kg/m3

Cell lengths 5.2626, 5.2626, 2.7558 Å; angles 90.00, 90.00, 120.44 degrees
Site moments in Bohr magnetons follow the coordinates.
Positions (direct):
Fe 0.0000 0.0000 0.0000  2.65
Fe 0.5000 0.5000 0.0000  2.65
Ni 0.5000 0.0000 0.5000  0.48
Sr 0.0000 0.5000 0.5000  -0.14

Record 7
Density functional theory data (PBE) for a relaxed Ca2ZnAg crystal.

## Properties
energy relative to the elements: 0.016 eV/atom
Fermi-level density of states: 5.1 states/eV per cell
ρ: 3629 kg/m3

Cell lengths 8.1010, 8.1010, 6.7309 Å; angles 53.00, 53.00, 90.00 degrees
Positions (direct):
Ca 0.6263 0.1250 0.2500
Ca 0.1237 0.6250 0.2500
Ca 0.8750 0.8763 0.7500
Ca 0.3750 0.3737 0.7500
Zn 0.2500 0.7500 0.5000
Zn 0.5000 0.5000 0.0000
Ag 0.7500 0.2500 0.5000
Ag 0.0000 0.0000 0.0000

Record 8
Density functional theory data (PBE) for a relaxed VGaGe2Pt crystal.

## Properties
energy relative to the elements: 0.417 eV/atom
Fermi-level density of states: 3.7 states/eV per cell
ρ: 7140 kg/m3

Cell lengths 4.7670, 4.7181, 4.7670 Å; angles 90.00, 90.00, 90.00 degrees
Site moments in Bohr magnetons follow the coordinates.
Positions (direct):
V 0.0000 0.0000 0.0000  0.38
Pt 0.0000 0.5000 0.0000  0.04
Ge 0.5000 0.0000 0.0000  -0.01
Ge 0.0000 0.0000 0.5000  0.00
Ga 0.5000 0.5000 0.5000  0.00

Record 9
Density functional theory data (PBE) for a relaxed LiMg7Sc3 crystal.

## Properties
energy relative to the elements: 0.088 eV/atom
Fermi-level density of states: 20.5 states/eV per cell
ρ: 2003 kg/m3

Cell lengths 3.1174, 10.8928, 15.3918 Å; angles 90.00, 90.00, 98.23 degrees
Site moments in Bohr magnetons follow the coordinates.
Positions (direct):
Mg 0.6669 0.3337 0.6097  0.00
Mg 0.3332 0.6663 0.3903  0.00
Mg 0.4776 0.9552 0.3588  0.00
Mg 0.7025 0.4049 0.4274  0.00
Mg 0.6030 0.2060 0.2500  0.00
Mg 0.3332 0.6663 0.1097  0.00
Mg 0.2975 0.5951 0.5726  0.00
Mg 0.3970 0.7940 0.7500  0.00
Mg 0.7025 0.4049 0.0726  0.00
Mg 0.5224 0.0448 0.8588  0.00
Mg 0.2975 0.5951 0.9274  0.00
Mg 0.5224 0.0448 0.6412  0.00
Mg 0.6669 0.3337 0.8903  0.00
Mg 0.4776 0.9552 0.1412  0.00
Li 0.8891 0.7782 0.2500  0.00
Li 0.1109 0.2218 0.7500  0.00
Sc 0.9232 0.8465 0.5305  -0.02
Sc 0.7510 0.5020 0.2500  0.18
Sc 0.0768 0.1535 0.0305  -0.02
Sc 0.2490 0.4980 0.7500  0.18
Sc 0.9232 0.8465 0.9695  -0.02
Sc 0.0768 0.1535 0.4695  -0.02

Record 10
Density functional theory data (PBE) for a relaxed LiAsOs2 crystal.

## Properties
energy relative to the elements: 0.313 eV/atom
Fermi-level density of states: 3.6 states/eV per cell
ρ: 13851 kg/m3

Cell lengths 4.6152, 4.6152, 4.6152 Å; angles 130.57, 130.57, 72.49 degrees
Positions (direct):
Li 0.7500 0.2500 0.5000
As 0.5000 0.5000 0.0000
Os 0.2500 0.7500 0.5000
Os 0.0000 0.0000 0.0000

Record 11
Density functional theory data (PBE) for a relaxed Tb7Pr4Ho crystal.

## Properties
energy relative to the elements: 0.261 eV/atom
energy above the lowest structure with this stoichiometry: 173.2 meV/atom
Fermi-level density of states: 20.0 states/eV per cell
ρ: 7383 kg/m3

Cell lengths 5.9787, 11.7903, 6.7688 Å; angles 83.70, 63.79, 75.31 degrees
Positions (direct):
Tb 0.0705 0.6908 0.1683
Tb 0.3680 0.4946 0.7694
Tb 0.6320 0.5054 0.2306
Tb 0.2117 0.0766 0.5001
Tb 0.9295 0.3092 0.8317
Tb 0.5000 0.0000 0.0000
Tb 0.7883 0.9234 0.4999
Pr 0.6403 0.2224 0.4970
Pr 0.2190 0.3357 0.2263
Pr 0.3597 0.7776 0.5030
Pr 0.7810 0.6643 0.7737
Ho 0.0000 0.0000 0.0000

Record 12
Density functional theory data (PBE) for a relaxed Ag2HPdRh crystal.

## Properties
Fermi-level density of states: 4.7 states/eV per cell
ρ: 10326 kg/m3
E_tot: -20.85 eV for the cell shown

Cell lengths 4.4106, 4.4106, 3.5219 Å; angles 90.00, 90.00, 90.00 degrees
Positions (direct):
H 0.0000 0.0000 0.0000
Rh 0.0000 0.0000 0.5000
Ag 0.5000 0.0000 0.0000
Ag 0.0000 0.5000 0.0000
Pd 0.5000 0.5000 0.5000

Record 13
Density functional theory data (PBE) for a relaxed Pm4AgPt crystal.

## Properties
energy relative to the elements: -0.245 eV/atom
energy above the lowest structure with this stoichiometry: 277.6 meV/atom
Fermi-level density of states: 18.7 states/eV per cell
ρ: 7036 kg/m3

Cell lengths 8.1638, 8.1638, 8.1638 Å; angles 107.20, 107.20, 114.13 degrees
Positions (direct):
Pm 0.2636 0.5678 0.3042
Pm 0.7093 0.5136 0.1958
Pm 0.1885 0.9863 0.2022
Pm 0.7841 0.9863 0.7978
Pm 0.7363 0.4385 0.7022
Pm 0.2636 0.9593 0.6958
Pm 0.7363 0.0341 0.2978
Pm 0.3178 0.5136 0.8042
Pt 0.7508 0.7508 0.0000
Pt 0.5008 0.0008 0.5000
Ag 0.2494 0.2494 0.0000
Ag 0.9994 0.4994 0.5000

Record 14
Density functional theory data (PBE) for a relaxed Nb2VNi6 crystal.

## Properties
energy relative to the elements: -0.128 eV/atom
Fermi-level density of states: 9.9 states/eV per cell
ρ: 8376 kg/m3

Cell lengths 5.4660, 4.9667, 4.9667 Å; angles 59.99, 89.96, 89.96 degrees
Positions (direct):
Ni 0.3245 0.3449 0.8274
Ni 0.3249 0.8274 0.8274
Ni 0.6755 0.6551 0.1726
Ni 0.6755 0.1726 0.6551
Ni 0.6751 0.1726 0.1726
Ni 0.3245 0.8274 0.3449
V 0.0000 0.0000 0.0000
Nb 0.8729 0.6668 0.6668
Nb 0.1271 0.3332 0.3332

Record 15
Density functional theory data (PBE) for a relaxed La2Ho5Tm12 crystal.

## Properties
energy relative to the elements: 0.100 eV/atom
energy above the lowest structure with this stoichiometry: 0.0 meV/atom
Fermi-level density of states: 29.0 states/eV per cell
ρ: 8601 kg/m3

Cell lengths 6.1411, 12.6717, 16.5135 Å; angles 148.97, 113.95, 67.87 degrees
Positions (direct):
Ho 0.7554 0.4849 0.4208
Ho 0.2196 0.6656 0.1634
Ho 0.2446 0.5151 0.5792
Ho 0.0000 0.0000 0.5000
Ho 0.7804 0.3344 0.8366
Tm 0.6054 0.8396 0.1870
Tm 0.5573 0.6686 0.8768
Tm 0.2021 0.6745 0.4674
Tm 0.0100 0.9966 0.7984
Tm 0.3946 0.1604 0.8130
Tm 0.6029 0.8327 0.4799
Tm 0.3971 0.1673 0.5201
Tm 0.7979 0.3255 0.5326
Tm 0.9900 0.0034 0.2016
Tm 0.8354 0.4903 0.1463
Tm 0.4427 0.3314 0.1232
Tm 0.1646 0.5097 0.8537
La 0.7428 0.8372 0.8224
La 0.2572 0.1628 0.1776

Record 16
Density functional theory data (PBE) for a relaxed TlCuSe2 crystal.

## Properties
Fermi-level density of states: 2.7 states/eV per cell
uncorrected formation energy: 0.012 eV per atom
ρ: 7255 kg/m3

Cell lengths 7.1883, 7.1883, 7.1883 Å; angles 32.89, 32.89, 32.89 degrees
Positions (direct):
Tl 0.4986 0.4986 0.4986
Se 0.2377 0.2377 0.2377
Se 0.0377 0.0377 0.0377
Cu 0.7259 0.7259 0.7259

Record 17
Density functional theory data (PBE) for a relaxed Ac2TcGe4 crystal.

## Properties
energy relative to the elements: -0.337 eV/atom
Fermi-level density of states: 4.6 states/eV per cell
ρ: 7693 kg/m3

Cell lengths 6.5435, 6.5435, 6.0677 Å; angles 117.63, 117.63, 98.04 degrees
Positions (direct):
Tc 0.0001 0.9999 0.0000
Ge 0.2892 0.2893 0.5785
Ge 0.2888 0.2889 0.0000
Ge 0.7107 0.7108 0.4215
Ge 0.7111 0.7112 0.0000
Ac 0.7500 0.2500 0.5000
Ac 0.2500 0.7500 0.5000

Record 18
Density functional theory data (PBE) for a relaxed CsZr3Mo crystal.

## Properties
energy relative to the elements: 2.482 eV/atom
energy above the lowest structure with this stoichiometry: 1530.7 meV/atom
Fermi-level density of states: 7.1 states/eV per cell
ρ: 6106 kg/m3

Cell lengths 5.1508, 5.1508, 5.1508 Å; angles 90.00, 90.00, 90.00 degrees
Positions (direct):
Zr 0.0000 0.5000 0.0000
Zr 0.0000 0.0000 0.5000
Zr 0.5000 0.0000 0.0000
Mo 0.5000 0.5000 0.5000
Cs 0.0000 0.0000 0.0000

Record 19
Density functional theory data (PBE) for a relaxed AlFeSb crystal.

## Properties
energy above the lowest structure with this stoichiometry: 157.9 meV/atom
Fermi-level density of states: 1.3 states/eV per cell
uncorrected formation energy: 0.123 eV per atom
ρ: 6217 kg/m3

Cell lengths 6.4786, 6.4786, 2.9870 Å; angles 76.67, 76.67, 26.66 degrees
Site moments in Bohr magnetons follow the coordinates.
Positions (direct):
Sb 0.7058 0.7058 0.2942  -0.01
Fe 0.3434 0.3434 0.6566  0.12
Al 0.9508 0.9508 0.0492  0.00

Record 20
Density functional theory data (PBE) for a relaxed LiZrSc2Pd crystal.

## Properties
energy relative to the elements: 0.192 eV/atom
Fermi-level density of states: 11.8 states/eV per cell
ρ: 3634 kg/m3

Cell lengths 5.1246, 5.1240, 5.1246 Å; angles 90.00, 90.00, 90.00 degrees
Positions (direct):
Zr 0.0000 0.5000 0.0000
Li 0.5000 0.5000 0.5000
Sc 0.5000 0.0000 0.0000
Sc 0.0000 0.0000 0.5000
Pd 0.0000 0.0000 0.0000